[1]
The following is a PBE calculation of a relaxed LaPCCl2 crystal, from Alexandria via LeMat-Bulk.

The uncorrected formation energy is 0.0 eV per formula unit. The value obtained for the relative energy among the computed polymorphs is 0 meV/atom.

Cell: 4.5652 4.5652 4.4476 Å, 90.00 90.00 90.00°
Space group P4/mmm (No. 123)
One atom of each set of equivalent atoms:
1 La 0.0000 0.0000 0.0000
2 P 0.5000 0.5000 0.0000
3 C 0.5000 0.5000 0.5000
4 Cl 0.0000 0.5000 0.5000

[2]
The following is a PBE calculation of a relaxed LaPCCl2 crystal, from Alexandria via LeMat-Bulk.

The uncorrected formation energy is 2.8 eV per formula unit. The value obtained for the relative energy among the computed polymorphs is 555 meV/atom.

Cell: 5.5051 5.5051 6.0254 Å, 90.00 90.00 90.00°
Space group P4/mmm (No. 123)
One atom of each set of equivalent atoms:
1 La 0.0000 0.0000 0.0000
2 P 0.0000 0.0000 0.5000
3 C 0.5000 0.5000 0.5000
4 Cl 0.0000 0.5000 0.0000

[3]
The following is a PBE calculation of a relaxed LaPC2Cl crystal, from Alexandria via LeMat-Bulk.

The uncorrected formation energy is 8.5 eV per formula unit.

Cell: 4.2996 4.2996 4.4937 Å, 90.00 90.00 90.00°
Space group P4/mmm (No. 123)
One atom of each set of equivalent atoms:
1 La 0.0000 0.0000 0.0000
2 P 0.5000 0.5000 0.0000
3 C 0.0000 0.5000 0.5000
4 Cl 0.5000 0.5000 0.5000

[4]
The following is a PBE calculation of a relaxed La8PC3Cl4 crystal, from Alexandria via LeMat-Bulk.

The uncorrected formation energy is -19.1 eV per formula unit.

Cell: 7.9122 7.9122 21.9730 Å, 90.00 90.00 120.00°
Space group R-3m (No. 166, hexagonal axes)
One atom of each set of equivalent atoms:
1 La 0.0000 0.0000 0.2304
2 La 0.0205 0.5103 0.7670
3 P 0.0000 0.0000 0.5000
4 C 0.0000 0.5000 0.5000
5 Cl 0.0000 0.0000 0.0000
6 Cl 0.0000 0.5000 0.0000

Density readings, ordered: 4.53 2.30 4.58 5.52 g cm⁻³